No. 1
Here is TmAgPbBr6 after structural relaxation from Alexandria via LeMat-Bulk. Energies are from GGA-PBE.

Geometry as POSCAR:
```
TmAgPbBr6
1.0
7.222 0.000 0.000
-3.611 6.255 0.000
0.000 0.000 13.319
Tm Ag Pb Br
2 2 2 12
Cartesian
0.000 4.170 3.330 Tm
3.611 2.085 9.989 Tm
0.000 4.170 9.989 Ag
3.611 2.085 3.330 Ag
0.000 0.000 0.000 Pb
0.000 0.000 6.659 Pb
-1.205 2.240 1.726 Br
-2.274 4.091 4.933 Br
1.205 2.240 4.933 Br
-1.069 6.178 1.726 Br
2.543 0.076 8.385 Br
1.337 2.164 11.593 Br
2.274 4.091 1.726 Br
1.069 6.178 4.933 Br
4.680 0.076 11.593 Br
2.406 4.015 8.385 Br
5.885 2.164 8.385 Br
4.816 4.015 11.593 Br
```

Calculated values
The symmetry is P-31c. As for the crystal system: trigonal. The uncorrected formation energy is -1.1821 eV per atom.

***

No. 2
Here is AsIrS after structural relaxation from Alexandria via LeMat-Bulk. Energies are from GGA-PBE.

Geometry as POSCAR:
```
AsIrS
1.0
3.576 0.000 0.000
0.465 5.942 0.000
1.622 2.791 5.243
As Ir S
2 2 2
Cartesian
0.000 0.000 0.000 As
2.001 6.711 2.272 As
1.550 4.963 4.022 Ir
3.894 7.549 3.852 Ir
1.740 3.018 0.073 S
3.353 3.808 2.872 S
```

Calculated values
The symmetry is P1. As for the crystal system: triclinic. The uncorrected formation energy is -0.2112 eV per atom.

***

No. 3
Here is KNa2Ga after structural relaxation from Alexandria via LeMat-Bulk. Energies are from GGA-PBE.

Geometry as POSCAR:
```
KNa2Ga
1.0
4.033 0.000 0.000
0.000 4.033 0.000
0.000 0.000 8.801
K Na Ga
1 2 1
Cartesian
0.000 0.000 0.000 K
2.016 2.016 2.852 Na
2.016 2.016 5.950 Na
0.000 0.000 4.401 Ga
```

Calculated values
The symmetry is P4/mmm. As for the crystal system: tetragonal. As for the total energy: -6.5 eV for the cell shown.

***

No. 4
Here is La2YAs4Pd3 after structural relaxation from Alexandria via LeMat-Bulk. Energies are from GGA-PBE.

Geometry as POSCAR:
```
La2YAs4Pd3
1.0
4.497 0.000 0.000
0.000 4.497 0.000
0.000 0.000 10.840
La Y As Pd
2 1 4 3
Cartesian
0.000 2.248 2.332 La
2.248 0.000 8.509 La
0.000 0.000 5.420 Y
0.000 0.000 0.000 As
0.000 2.248 7.096 As
2.248 0.000 3.744 As
2.248 2.248 0.000 As
0.000 2.248 9.618 Pd
2.248 0.000 1.223 Pd
2.248 2.248 5.420 Pd
```

Calculated values
The symmetry is P-4m2. As for the crystal system: tetragonal. As for the total energy: -60.7 eV for the cell shown.

***

no.,N(E_F) (states/eV/atom)
1,0.0000
2,0.4323
3,0.4758
4,0.3158